An optimized crystal structure of PbBr7. Source: Alexandria via LeMat-Bulk, functional GGA-PBEsol.

Unit cell a=9.312 b=9.312 c=9.312 alpha=90.00 beta=90.00 gamma=90.00
Space group Fm-3m (No. 225)
Asymmetric unit:
Pb: 0.000 0.000 0.000
Br: 0.000 0.000 0.500
Br: 0.000 0.250 0.250

Calculated values
- total moment (μB per formula unit) = 0.0
- Fermi-level density of states (states/eV per cell) = 44.36
- formation energy without anion corrections (eV per atom) = 0.146